Entry from Alexandria: a relaxed structure of LiAlTc2 (GGA-PBE).

Unit cell a=3.1436 b=4.1570 c=4.2768 alpha=90.00 beta=90.00 gamma=90.00
Closest atoms and distances in Å follow each position.
Space group Pmmm (No. 47)
Unique sites:
Li (0.0000, 0.0000, 0.0000) [1 per cell]  4 Al 2.61, 4 Tc 2.65
Al (0.5000, 0.5000, 0.0000) [1 per cell]  4 Li 2.61, 4 Tc 2.65
Tc (0.0000, 0.5000, 0.5000) [1 per cell]  4 Tc 2.61, 4 Al 2.65
Tc (0.5000, 0.0000, 0.5000) [1 per cell]  4 Tc 2.61, 4 Li 2.65

DOS(E_F): 2.5 states/eV per cell
Calculated total energy: -6.6226 eV per atom
Energy of formation: -0.025 eV per atom
Magnetic moment: 0.000 μB per atom